No. 1
# RuCl PBE-GGA optimized geometry
# Crystal system: triclinic
# Energy above the most stable polymorph in this dataset in eV/atom: 0.024
data_RuCl
_chemical_formula_sum 'Ru2 Cl2'
_space_group_name_H-M_alt 'P 1'
_space_group_IT_number 1
_space_group_name_Hall 'P 1'
_cell_length_a 2.992
_cell_length_b 3.646
_cell_length_c 8.584
_cell_angle_alpha 98.81
_cell_angle_beta 90.31
_cell_angle_gamma 114.20
loop_
_atom_site_label
_atom_site_fract_x
_atom_site_fract_y
_atom_site_fract_z
Ru1 0.000 0.000 0.000
Ru2 0.316 0.628 0.169
Cl1 0.458 0.922 0.781
Cl2 0.654 0.299 0.361

=====

No. 2
# RuCl PBE-GGA optimized geometry
# Crystal system: orthorhombic
# Energy above the most stable polymorph in this dataset in eV/atom: 0.484
data_RuCl
_chemical_formula_sum 'Ru16 Cl16'
_space_group_name_H-M_alt 'F d d d'
_space_group_IT_number 70
_cell_length_a 6.695
_cell_length_b 7.644
_cell_length_c 12.060
_cell_angle_alpha 90.00
_cell_angle_beta 90.00
_cell_angle_gamma 90.00
loop_
_space_group_symop_operation_xyz
'x,y,z'
'-x,-y,-z'
'-x+1/4,-y+1/4,z'
'x+1/4,y+1/4,-z'
'x,-y+1/4,-z+1/4'
'-x,y+1/4,z+1/4'
'-x+1/4,y,-z+1/4'
'x+1/4,-y,z+1/4'
'x,y+1/2,z+1/2'
'-x,-y+1/2,-z+1/2'
'-x+1/4,-y+3/4,z+1/2'
'x+1/4,y+3/4,-z+1/2'
'x,-y+3/4,-z+3/4'
'-x,y+3/4,z+3/4'
'-x+1/4,y+1/2,-z+3/4'
'x+1/4,-y+1/2,z+3/4'
'x+1/2,y,z+1/2'
'-x+1/2,-y,-z+1/2'
'-x+3/4,-y+1/4,z+1/2'
'x+3/4,y+1/4,-z+1/2'
'x+1/2,-y+1/4,-z+3/4'
'-x+1/2,y+1/4,z+3/4'
'-x+3/4,y,-z+3/4'
'x+3/4,-y,z+3/4'
'x+1/2,y+1/2,z'
'-x+1/2,-y+1/2,-z'
'-x+3/4,-y+3/4,z'
'x+3/4,y+3/4,-z'
'x+1/2,-y+3/4,-z+1/4'
'-x+1/2,y+3/4,z+1/4'
'-x+3/4,y+1/2,-z+1/4'
'x+3/4,-y+1/2,z+1/4'
loop_
_atom_site_label
_atom_site_fract_x
_atom_site_fract_y
_atom_site_fract_z
Ru1 0.125 0.125 0.027
Cl1 0.125 0.328 0.625